The following is a GGA-PBE calculation of a geometry-optimized Tb4CdAg2Pd structure, from Alexandria.

M_tot: 0.0 μB per formula unit
space-group type: R-3m (166)
D(E_F): 4.80 states/eV/f.u.
uncorrected energy: -34.0 eV for the cell shown
calculated volume: 193.34 Å³ per cell

POSCAR file:
```
Tb4CdAg2Pd
1.0
5.156 0.000 0.000
2.578 4.465 0.000
2.578 1.488 8.398
Cd Ag Tb Pd
1 2 4 1
Cartesian
0.000 0.000 0.000 Cd
2.578 1.488 1.935 Ag
7.734 4.465 6.463 Ag
7.734 4.465 3.274 Tb
5.156 2.977 7.189 Tb
5.156 2.977 1.209 Tb
2.578 1.488 5.124 Tb
5.156 2.977 4.199 Pd
```

=====

The following is a GGA-PBE calculation of a geometry-optimized CdAgTe2Pd structure, from Alexandria.

M_tot: 0.0 μB per formula unit
formation energy without anion corrections: 641 meV/atom
space-group type: P4/mmm (123)
D(E_F): 5.40 states/eV/f.u.
uncorrected energy: -12.0 eV for the cell shown
calculated volume: 149.80 Å³ per cell

POSCAR file:
```
CdAgTe2Pd
1.0
-4.189 -3.278 0.961
1.613 -0.648 4.824
-2.963 4.243 1.560
Cd Te Pd Ag
1 2 1 1
Cartesian
0.807 -0.324 2.412 Cd
-1.481 2.121 0.780 Te
-2.094 -1.639 0.480 Te
-2.769 0.159 3.672 Pd
0.000 0.000 0.000 Ag
```

=====

The following is a GGA-PBE calculation of a geometry-optimized TiCd2AgPd structure, from Alexandria.

M_tot: 1.3 μB per formula unit
space-group type: P4/mmm (123)
D(E_F): 3.97 states/eV/f.u.
uncorrected energy: -13.9 eV for the cell shown
calculated volume: 126.22 Å³ per cell

POSCAR file:
```
TiCd2AgPd
1.0
5.053 0.000 0.000
0.000 4.943 0.000
0.000 0.000 5.053
Ag Cd Pd Ti
1 2 1 1
Cartesian
0.000 0.000 0.000 Ag
2.527 0.000 0.000 Cd
0.000 0.000 2.527 Cd
2.527 2.471 2.527 Pd
0.000 2.471 0.000 Ti
```

=====

The following is a GGA-PBE calculation of a geometry-optimized TiCdAgPd structure, from Alexandria.

M_tot: 0.2 μB per formula unit
space-group type: F-43m (216)
D(E_F): 4.17 states/eV/f.u.
uncorrected energy: -17.6 eV for the cell shown
calculated volume: 69.14 Å³ per cell

POSCAR file:
```
TiCdAgPd
1.0
4.607 0.000 0.000
2.304 3.990 0.000
2.304 1.330 3.762
Ti Pd Ag Cd
1 1 1 1
Cartesian
6.911 3.990 2.821 Ti
0.000 0.000 0.000 Pd
4.607 2.660 1.881 Ag
2.304 1.330 0.940 Cd
```